Record 1
Entry from Alexandria: a geometry-optimized TcAgRu2Pt structure (PBE).

CIF file:
```
data_TcAgRu2Pt
_chemical_formula_sum 'Tc1 Ag1 Ru2 Pt1'
_symmetry_space_group_name_H-M 'P 4/m m m'
_symmetry_Int_Tables_number 123
_symmetry_space_group_name_Hall '-P 4 2'
_cell_length_a 4.6147
_cell_length_b 4.6147
_cell_length_c 4.8377
_cell_angle_alpha 90.00
_cell_angle_beta 90.00
_cell_angle_gamma 90.00
loop_
_atom_site_label
_atom_site_fract_x
_atom_site_fract_y
_atom_site_fract_z
_atom_site_occupancy
Tc1 0.0000 0.0000 0.0000 1
Ag1 0.5000 0.5000 0.5000 1
Ru1 0.0000 0.5000 0.0000 1
Pt1 0.0000 0.0000 0.5000 1
```

Final energy in eV/atom: -6.144
DOS at the Fermi energy in states/eV/atom: 1.10
Energy of formation in eV/atom: 1.42
Crystal system: tetragonal



Record 2
Entry from Alexandria: a geometry-optimized AgPt2S2 structure (PBE).

CIF file:
```
data_AgPt2S2
_chemical_formula_sum 'Ag2 Pt4 S4'
_symmetry_space_group_name_H-M 'P 4/m b m'
_symmetry_Int_Tables_number 127
_symmetry_space_group_name_Hall '-P 4 2ab'
_cell_length_a 7.5022
_cell_length_b 7.5022
_cell_length_c 3.0809
_cell_angle_alpha 90.00
_cell_angle_beta 90.00
_cell_angle_gamma 90.00
loop_
_atom_site_label
_atom_site_fract_x
_atom_site_fract_y
_atom_site_fract_z
_atom_site_occupancy
Ag1 0.0000 0.0000 0.0000 1
Pt1 0.1801 0.3199 0.0000 1
S1 0.1522 0.6522 0.5000 1
```

Final energy in eV/atom: -4.392
DOS at the Fermi energy in states/eV/atom: 0.46
Formation energy (no corrections) in meV per atom: 245.2
Crystal system: tetragonal



Record 3
Entry from Alexandria: a geometry-optimized Ag2Pt2S structure (PBE).

CIF file:
```
data_Ag2Pt2S
_chemical_formula_sum 'Ag4 Pt4 S2'
_symmetry_space_group_name_H-M 'P 4/m b m'
_symmetry_Int_Tables_number 127
_symmetry_space_group_name_Hall '-P 4 2ab'
_cell_length_a 6.3025
_cell_length_b 6.3025
_cell_length_c 4.4570
_cell_angle_alpha 90.00
_cell_angle_beta 90.00
_cell_angle_gamma 90.00
loop_
_atom_site_label
_atom_site_fract_x
_atom_site_fract_y
_atom_site_fract_z
_atom_site_occupancy
Ag1 0.1560 0.3440 0.0000 1
Pt1 0.1563 0.6563 0.5000 1
S1 0.0000 0.0000 0.5000 1
```

Final energy in eV/atom: -4.256
DOS at the Fermi energy in states/eV/atom: 0.46
Formation energy (no corrections) in meV per atom: 126.3
Crystal system: tetragonal



Record 4
Entry from Alexandria: a geometry-optimized AgPt2S2 structure (PBE).

CIF file:
```
data_AgPt2S2
_chemical_formula_sum 'Ag2 Pt4 S4'
_symmetry_space_group_name_H-M 'I 4/m m m'
_symmetry_Int_Tables_number 139
_symmetry_space_group_name_Hall '-I 4 2'
_cell_length_a 4.6721
_cell_length_b 4.6721
_cell_length_c 8.4882
_cell_angle_alpha 90.00
_cell_angle_beta 90.00
_cell_angle_gamma 90.00
loop_
_atom_site_label
_atom_site_fract_x
_atom_site_fract_y
_atom_site_fract_z
_atom_site_occupancy
Ag1 0.0000 0.0000 0.0000 1
Pt1 0.0000 0.0000 0.3253 1
S1 0.0000 0.5000 0.2500 1
```

Final energy in eV/atom: -4.556
DOS at the Fermi energy in states/eV/atom: 0.38
Formation energy (no corrections) in meV per atom: 81.8
Crystal system: tetragonal



Record 5
Entry from Alexandria: a geometry-optimized AgPt2S6 structure (PBE).

CIF file:
```
data_AgPt2S6
_chemical_formula_sum 'Ag1 Pt2 S6'
_symmetry_space_group_name_H-M 'P -3 1 m'
_symmetry_Int_Tables_number 162
_symmetry_space_group_name_Hall '-P 3 2'
_cell_length_a 6.3493
_cell_length_b 6.3493
_cell_length_c 5.0409
_cell_angle_alpha 90.00
_cell_angle_beta 90.00
_cell_angle_gamma 120.00
loop_
_atom_site_label
_atom_site_fract_x
_atom_site_fract_y
_atom_site_fract_z
_atom_site_occupancy
Ag1 0.0000 0.0000 0.0000 1
Pt1 0.3333 0.6667 0.5000 1
S1 0.0000 0.3770 0.7654 1
```

Final energy in eV/atom: -4.413
DOS at the Fermi energy in states/eV/atom: 0.71
Formation energy (no corrections) in meV per atom: -2.0
Crystal system: trigonal



Record 6
Entry from Alexandria: a geometry-optimized AgPt2S2 structure (PBE).

CIF file:
```
data_AgPt2S2
_chemical_formula_sum 'Ag2 Pt4 S4'
_symmetry_space_group_name_H-M 'P 4/m b m'
_symmetry_Int_Tables_number 127
_symmetry_space_group_name_Hall '-P 4 2ab'
_cell_length_a 7.4933
_cell_length_b 7.4933
_cell_length_c 3.0340
_cell_angle_alpha 90.00
_cell_angle_beta 90.00
_cell_angle_gamma 90.00
loop_
_atom_site_label
_atom_site_fract_x
_atom_site_fract_y
_atom_site_fract_z
_atom_site_occupancy
Ag1 0.0000 0.0000 0.0000 1
Pt1 0.1900 0.3100 0.5000 1
S1 0.1421 0.6421 0.0000 1
```

Final energy in eV/atom: -4.383
DOS at the Fermi energy in states/eV/atom: 0.40
Formation energy (no corrections) in meV per atom: 254.6
Crystal system: tetragonal



Record 7
Entry from Alexandria: a geometry-optimized AgPtS3 structure (PBE).

CIF file:
```
data_AgPtS3
_chemical_formula_sum 'Ag1 Pt1 S3'
_symmetry_space_group_name_H-M 'P m -3 m'
_symmetry_Int_Tables_number 221
_symmetry_space_group_name_Hall '-P 4 2 3'
_cell_length_a 4.7622
_cell_length_b 4.7622
_cell_length_c 4.7622
_cell_angle_alpha 90.00
_cell_angle_beta 90.00
_cell_angle_gamma 90.00
loop_
_atom_site_label
_atom_site_fract_x
_atom_site_fract_y
_atom_site_fract_z
_atom_site_occupancy
Ag1 0.0000 0.0000 0.0000 1
Pt1 0.5000 0.5000 0.5000 1
S1 0.0000 0.5000 0.5000 1
```

Final energy in eV/atom: -3.637
DOS at the Fermi energy in states/eV/atom: 0.78
Formation energy (no corrections) in meV per atom: 617.7
Crystal system: cubic
Energy above the lowest structure with this stoichiometry in eV per atom: 0.000



Record 8
Entry from Alexandria: a geometry-optimized AgPt2S4 structure (PBE).

CIF file:
```
data_AgPt2S4
_chemical_formula_sum 'Ag4 Pt8 S16'
_symmetry_space_group_name_H-M 'I m m a'
_symmetry_Int_Tables_number 74
_symmetry_space_group_name_Hall '-I 2b 2'
_cell_length_a 7.3205
_cell_length_b 7.3246
_cell_length_c 10.3456
_cell_angle_alpha 90.00
_cell_angle_beta 90.00
_cell_angle_gamma 90.00
loop_
_atom_site_label
_atom_site_fract_x
_atom_site_fract_y
_atom_site_fract_z
_atom_site_occupancy
Ag1 0.0000 0.2500 0.1255 1
Pt1 0.0000 0.0000 0.5000 1
Pt2 0.2500 0.2500 0.7500 1
S1 0.0000 0.0327 0.7338 1
S2 0.2172 0.2500 0.5157 1
```

Final energy in eV/atom: -4.752
DOS at the Fermi energy in states/eV/atom: 0.56
Formation energy (no corrections) in meV per atom: -260.4
Crystal system: orthorhombic



Record 9
Entry from Alexandria: a geometry-optimized Ag3Pt5S12 structure (PBE).

CIF file:
```
data_Ag3Pt5S12
_chemical_formula_sum 'Ag24 Pt40 S96'
_symmetry_space_group_name_H-M 'I a -3 d'
_symmetry_Int_Tables_number 230
_symmetry_space_group_name_Hall '-I 4bd 2c 3'
_cell_length_a 14.6922
_cell_length_b 14.6922
_cell_length_c 14.6922
_cell_angle_alpha 90.00
_cell_angle_beta 90.00
_cell_angle_gamma 90.00
loop_
_atom_site_label
_atom_site_fract_x
_atom_site_fract_y
_atom_site_fract_z
_atom_site_occupancy
Ag1 0.0000 0.2500 0.1250 1
Pt1 0.0000 0.0000 0.0000 1
Pt2 0.0000 0.2500 0.3750 1
S1 0.0312 0.0673 0.6458 1
```

Final energy in eV/atom: -4.331
DOS at the Fermi energy in states/eV/atom: 0.84
Formation energy (no corrections) in meV per atom: 83.3
Crystal system: cubic



Record 10
Entry from Alexandria: a geometry-optimized Ag3PtS structure (PBE).

CIF file:
```
data_Ag3PtS
_chemical_formula_sum 'Ag3 Pt1 S1'
_symmetry_space_group_name_H-M 'P m -3 m'
_symmetry_Int_Tables_number 221
_symmetry_space_group_name_Hall '-P 4 2 3'
_cell_length_a 4.6921
_cell_length_b 4.6921
_cell_length_c 4.6921
_cell_angle_alpha 90.00
_cell_angle_beta 90.00
_cell_angle_gamma 90.00
loop_
_atom_site_label
_atom_site_fract_x
_atom_site_fract_y
_atom_site_fract_z
_atom_site_occupancy
Ag1 0.0000 0.0000 0.5000 1
Pt1 0.5000 0.5000 0.5000 1
S1 0.0000 0.0000 0.0000 1
```

Final energy in eV/atom: -3.179
DOS at the Fermi energy in states/eV/atom: 0.88
Formation energy (no corrections) in meV per atom: 565.8
Crystal system: cubic
Energy above the lowest structure with this stoichiometry in eV per atom: 0.000



Record 11
Entry from Alexandria: a geometry-optimized AgPt2S structure (PBE).

CIF file:
```
data_AgPt2S
_chemical_formula_sum 'Ag4 Pt8 S4'
_symmetry_space_group_name_H-M 'I -4 2 d'
_symmetry_Int_Tables_number 122
_symmetry_space_group_name_Hall 'I -4 2bw'
_cell_length_a 4.8854
_cell_length_b 4.8854
_cell_length_c 14.7303
_cell_angle_alpha 90.00
_cell_angle_beta 90.00
_cell_angle_gamma 90.00
loop_
_atom_site_label
_atom_site_fract_x
_atom_site_fract_y
_atom_site_fract_z
_atom_site_occupancy
Ag1 0.0000 0.0000 0.0000 1
Pt1 0.1027 0.2500 0.6250 1
S1 0.0000 0.0000 0.5000 1
```

Final energy in eV/atom: -4.589
DOS at the Fermi energy in states/eV/atom: 0.55
Formation energy (no corrections) in meV per atom: 175.9
Crystal system: tetragonal



Record 12
Entry from Alexandria: a geometry-optimized Ag3PtS structure (PBE).

CIF file:
```
data_Ag3PtS
_chemical_formula_sum 'Ag3 Pt1 S1'
_symmetry_space_group_name_H-M 'P m -3 m'
_symmetry_Int_Tables_number 221
_symmetry_space_group_name_Hall '-P 4 2 3'
_cell_length_a 5.0741
_cell_length_b 5.0741
_cell_length_c 5.0741
_cell_angle_alpha 90.00
_cell_angle_beta 90.00
_cell_angle_gamma 90.00
loop_
_atom_site_label
_atom_site_fract_x
_atom_site_fract_y
_atom_site_fract_z
_atom_site_occupancy
Ag1 0.0000 0.0000 0.5000 1
Pt1 0.0000 0.0000 0.0000 1
S1 0.5000 0.5000 0.5000 1
```

Final energy in eV/atom: -2.767
DOS at the Fermi energy in states/eV/atom: 1.22
Formation energy (no corrections) in meV per atom: 977.3
Crystal system: cubic
Energy above the lowest structure with this stoichiometry in eV per atom: 0.411